Entry 1:
Entry from the Alexandria database: a relaxed Ce2ZnP4Ir3 crystal (PBE).

a = 4.2213 Å, b = 4.2213 Å, c = 9.4844 Å
α = 90.00°, β = 90.00°, γ = 90.00°
Site moments in Bohr magnetons follow the coordinates.
Fractional positions:
Ce: 0.5000 0.0000 0.2435  0.10
Ce: 0.0000 0.5000 0.7565  0.10
Zn: 0.5000 0.5000 0.5000  0.00
P: 0.5000 0.5000 0.0000  0.00
P: 0.0000 0.0000 0.0000  0.00
P: 0.5000 0.0000 0.6384  0.00
P: 0.0000 0.5000 0.3616  0.00
Ir: 0.0000 0.0000 0.5000  -0.01
Ir: 0.5000 0.0000 0.8886  -0.01
Ir: 0.0000 0.5000 0.1114  -0.01

Computed properties:
The value obtained for the raw total energy is -7.064 eV/atom. The formation energy comes out at -0.93 eV/atom. As for the symmetry: No. 115. The spin magnetization is 0.19 μB per formula unit.

---

Entry 2:
Entry from the Alexandria database: a relaxed Ce2ZnP3Ir4 crystal (PBE).

a = 4.0614 Å, b = 4.0614 Å, c = 10.1889 Å
α = 90.00°, β = 90.00°, γ = 90.00°
Fractional positions:
Ce: 0.5000 0.0000 0.2514
Ce: 0.0000 0.5000 0.7486
Zn: 0.5000 0.5000 0.5000
P: 0.0000 0.0000 0.5000
P: 0.5000 0.0000 0.8663
P: 0.0000 0.5000 0.1337
Ir: 0.5000 0.5000 0.0000
Ir: 0.0000 0.0000 0.0000
Ir: 0.5000 0.0000 0.6410
Ir: 0.0000 0.5000 0.3590

Computed properties:
The value obtained for the raw total energy is -7.387 eV/atom. The formation energy comes out at -0.91 eV/atom. As for the symmetry: No. 115. The spin magnetization is 0.00 μB per formula unit.